Ac4N3F2 | PBE-GGA | relaxed

```
Ac4N3F2
1.0
-5.5629 1.5991 3.7510
5.6371 -1.4560 6.2985
5.1411 6.5155 2.1647
Ac N F
8 6 4
Direct
0.9543 0.5013 0.2788 Ac
0.4681 0.2184 0.9910 Ac
0.4543 0.2788 0.5013 Ac
0.5457 0.7212 0.4987 Ac
0.0319 0.0090 0.7816 Ac
0.5319 0.7816 0.0090 Ac
0.9681 0.9910 0.2184 Ac
0.0457 0.4987 0.7212 Ac
0.3976 0.0558 0.8021 N
0.8976 0.8021 0.0558 N
0.2500 0.5030 0.4970 N
0.6024 0.9442 0.1979 N
0.1024 0.1979 0.9442 N
0.7500 0.4970 0.5030 N
0.0855 0.1884 0.3955 F
0.5855 0.3955 0.1884 F
0.9145 0.8116 0.6045 F
0.4145 0.6045 0.8116 F
```

The space group is C2/c. The volume comes out at 24.7 Å³ per atom. For the density of states at the Fermi level, the calculation gives 0.26 states/eV/atom. The calculation puts the uncorrected formation energy at -1.913 eV per atom.

---

Ac3N3F | PBE-GGA | relaxed

```
Ac3N3F
1.0
6.5965 0.0000 3.3584
2.4433 6.1273 3.3584
0.3113 0.2110 7.5460
N Ac F
6 6 2
Direct
0.8861 0.5677 0.3310 N
0.4323 0.7848 0.6690 N
0.1139 0.4323 0.6690 N
0.2152 0.8861 0.3310 N
0.5677 0.2152 0.3310 N
0.7848 0.1139 0.6690 N
0.5654 0.9166 0.2611 Ac
0.9166 0.2569 0.2611 Ac
0.0834 0.7431 0.7389 Ac
0.7431 0.4346 0.7389 Ac
0.4346 0.0834 0.7389 Ac
0.2569 0.5654 0.2611 Ac
0.6688 0.6688 0.9935 F
0.3312 0.3312 0.0065 F
```

The space group is R-3. The volume comes out at 21.1 Å³ per atom. For the density of states at the Fermi level, the calculation gives 0.36 states/eV/atom. The calculation puts the uncorrected formation energy at -1.548 eV per atom.